Material: Sc3GaN
Method: DFT, PBE
State: optimized geometry

abc: 11.671 8.077 8.077
angles: 83.80 126.05 53.95
Fractional positions:
Sc  0.900  0.054  0.084
Sc  0.927  0.321  0.373
Ga  0.948  0.450  0.693
Sc  0.400  0.416  0.446
Sc  0.073  0.679  0.627
Sc  0.100  0.946  0.916
Ga  0.448  0.807  0.050
N  0.750  0.183  0.683
Sc  0.573  0.873  0.821
Sc  0.592  0.328  0.276
Sc  0.092  0.224  0.172
N  0.250  0.545  0.045
N  0.750  0.455  0.955
Ga  0.552  0.193  0.950
Sc  0.908  0.776  0.828
Ga  0.052  0.550  0.307
Sc  0.408  0.672  0.724
Sc  0.427  0.127  0.179
N  0.250  0.817  0.317
Sc  0.600  0.584  0.554

Properties
DOS at the Fermi energy: 17.44 states/eV/cell
Formation energy without anion corrections: -0.93 eV/atom

---

Material: Li3Ce2ZnGe4
Method: DFT, PBE
State: optimized geometry

abc: 4.193 4.193 10.486
angles: 90.00 90.00 90.00
Site moments in Bohr magnetons follow the coordinates.
Fractional positions:
Li  0.500  0.000  0.874  0.00
Ge  0.000  0.000  0.000  -0.01
Ce  0.500  0.000  0.245  0.53
Ge  0.500  0.000  0.645  -0.02
Ge  0.500  0.500  0.000  -0.01
Zn  0.500  0.500  0.500  -0.01
Ge  0.000  0.500  0.355  -0.02
Ce  0.000  0.500  0.755  0.53
Li  0.000  0.000  0.500  0.00
Li  0.000  0.500  0.126  0.00

Properties
Formation energy from the elements: -0.527 eV/atom
DOS at the Fermi energy: 11.21 states/eV/cell

---

Material: NaLaCdAg
Method: DFT, PBE
State: optimized geometry

abc: 5.323 5.323 5.323
angles: 60.00 60.00 60.00
Fractional positions:
La  0.500  0.500  0.500
Na  0.000  0.000  0.000
Ag  0.250  0.250  0.250
Cd  0.750  0.750  0.750

Properties
Formation energy from the elements: -0.159 eV/atom
DOS at the Fermi energy: 3.19 states/eV/cell

---

Material: Rb2InF3
Method: DFT, PBE
State: optimized geometry

abc: 5.904 7.872 6.917
angles: 106.46 115.26 90.00
Fractional positions:
F  0.163  0.583  0.330
Rb  0.338  0.418  0.672
In  0.974  0.250  0.000
F  0.168  0.083  0.330
Rb  0.662  0.582  0.328
F  0.832  0.917  0.670
In  0.026  0.750  0.000
F  0.837  0.417  0.670
Rb  0.334  0.918  0.672
Rb  0.666  0.082  0.328
F  0.647  0.750  0.000
F  0.353  0.250  0.000

Properties
DOS at the Fermi energy: 0.00 states/eV/cell
Formation energy without anion corrections: -2.32 eV/atom

---

Material: TcTeRh2
Method: DFT, PBE
State: optimized geometry

abc: 5.783 5.783 6.936
angles: 65.36 65.36 90.00
Fractional positions:
Tc  0.500  0.500  0.000
Te  0.000  0.000  0.000
Rh  0.375  0.404  0.750
Rh  0.154  0.625  0.250
Te  0.750  0.250  0.500
Tc  0.250  0.750  0.500
Rh  0.875  0.846  0.750
Rh  0.596  0.125  0.250

Properties
DOS at the Fermi energy: 9.81 states/eV/cell
Formation energy without anion corrections: 0.57 eV/atom

---

Material: Th3PdAu2
Method: DFT, PBE
State: optimized geometry

abc: 3.675 5.267 15.536
angles: 90.00 90.00 90.00
Fractional positions:
Th  0.499  0.500  0.000
Th  0.500  0.000  0.843
Au  0.000  0.000  0.675
Au  0.000  0.500  0.175
Pd  0.000  0.500  0.500
Au  0.000  0.000  0.325
Th  0.500  0.000  0.157
Th  0.501  0.000  0.500
Au  0.000  0.500  0.825
Th  0.500  0.500  0.657
Pd  0.000  0.000  0.000
Th  0.500  0.500  0.343

Properties
Formation energy from the elements: -0.590 eV/atom
DOS at the Fermi energy: 10.58 states/eV/cell

---

Material: TlCrGa2
Method: DFT, PBE
State: optimized geometry

abc: 7.778 7.778 6.140
angles: 50.70 50.70 90.00
Fractional positions:
Ga  0.875  0.799  0.750
Tl  0.000  0.000  0.000
Cr  0.250  0.750  0.500
Cr  0.500  0.500  0.000
Ga  0.375  0.451  0.750
Ga  0.549  0.125  0.250
Tl  0.750  0.250  0.500
Ga  0.201  0.625  0.250

Properties
ΔE to the lowest computed polymorph: 0.751 eV per formula unit
Formation energy from the elements: 0.596 eV/atom
DOS at the Fermi energy: 3.59 states/eV/cell

---

Material: Rb3SrTb2Se6
Method: DFT, PBE
State: optimized geometry

abc: 7.533 7.533 8.421
angles: 98.60 98.60 120.01
Fractional positions:
Sr  0.000  0.000  0.000
Rb  0.500  0.500  0.500
Se  0.579  0.933  0.800
Se  0.421  0.067  0.200
Se  0.713  0.713  0.199
Rb  0.838  0.162  0.500
Se  0.067  0.421  0.200
Se  0.933  0.579  0.800
Tb  0.333  0.667  0.000
Rb  0.162  0.838  0.500
Tb  0.667  0.333  0.000
Se  0.287  0.287  0.801

Properties
DOS at the Fermi energy: 11.03 states/eV/cell
Formation energy without anion corrections: -1.60 eV/atom

---

Material: CaAlPt
Method: DFT, PBE
State: optimized geometry

abc: 6.019 5.894 7.662
angles: 70.67 90.00 90.00
Fractional positions:
Ca  0.134  0.176  0.110
Ca  0.634  0.324  0.390
Pt  0.105  0.580  0.296
Al  0.123  0.185  0.543
Al  0.623  0.315  0.957
Pt  0.605  0.920  0.204
Al  0.377  0.685  0.043
Al  0.877  0.815  0.457
Ca  0.866  0.824  0.890
Pt  0.395  0.080  0.796
Ca  0.366  0.676  0.610
Pt  0.895  0.420  0.704

Properties
Formation energy from the elements: -0.883 eV/atom
DOS at the Fermi energy: 3.94 states/eV/cell

---

Material: Er2FeS
Method: DFT, PBE
State: optimized geometry

abc: 3.488 3.488 9.088
angles: 78.94 78.94 60.00
Site moments in Bohr magnetons follow the coordinates.
Fractional positions:
S  0.500  0.500  0.500  0.00
Er  0.101  0.101  0.697  0.19
Fe  0.000  0.000  0.000  -2.73
Er  0.899  0.899  0.303  0.19

Properties
DOS at the Fermi energy: 3.33 states/eV/cell
Formation energy without anion corrections: -0.25 eV/atom

---

Material: LaZn3Hg
Method: DFT, PBE
State: optimized geometry

abc: 4.411 4.412 6.356
angles: 69.69 69.68 90.12
Fractional positions:
Hg  0.016  0.819  0.674
Zn  0.663  0.965  0.382
Zn  0.776  0.580  0.154
Zn  0.161  0.465  0.382
La  0.392  0.196  0.920

Properties
ΔE to the lowest computed polymorph: 0.000 eV per formula unit
Formation energy from the elements: -0.309 eV/atom
DOS at the Fermi energy: 4.05 states/eV/cell

---

Material: V4SiH2
Method: DFT, PBE
State: optimized geometry

abc: 4.311 4.311 5.478
angles: 66.83 66.83 90.00
Fractional positions:
V  0.743  0.743  0.515
V  0.500  0.000  0.000
Si  0.000  0.000  0.000
V  0.257  0.257  0.485
H  0.439  0.439  0.122
H  0.561  0.561  0.878
V  0.000  0.500  0.000

Properties
ΔE to the lowest computed polymorph: 6.058 eV per formula unit
DOS at the Fermi energy: 7.36 states/eV/cell

---

Please write out number 10 again, unchanged.
Material: Er2FeS
Method: DFT, PBE
State: optimized geometry

abc: 3.488 3.488 9.088
angles: 78.94 78.94 60.00
Site moments in Bohr magnetons follow the coordinates.
Fractional positions:
S  0.500  0.500  0.500  0.00
Er  0.101  0.101  0.697  0.19
Fe  0.000  0.000  0.000  -2.73
Er  0.899  0.899  0.303  0.19

Properties
DOS at the Fermi energy: 3.33 states/eV/cell
Formation energy without anion corrections: -0.25 eV/atom

---

What did the second record say?
Material: Li3Ce2ZnGe4
Method: DFT, PBE
State: optimized geometry

abc: 4.193 4.193 10.486
angles: 90.00 90.00 90.00
Site moments in Bohr magnetons follow the coordinates.
Fractional positions:
Li  0.500  0.000  0.874  0.00
Ge  0.000  0.000  0.000  -0.01
Ce  0.500  0.000  0.245  0.53
Ge  0.500  0.000  0.645  -0.02
Ge  0.500  0.500  0.000  -0.01
Zn  0.500  0.500  0.500  -0.01
Ge  0.000  0.500  0.355  -0.02
Ce  0.000  0.500  0.755  0.53
Li  0.000  0.000  0.500  0.00
Li  0.000  0.500  0.126  0.00

Properties
Formation energy from the elements: -0.527 eV/atom
DOS at the Fermi energy: 11.21 states/eV/cell

---

Q: Among the records above, which one has the highest DOS at the Fermi energy?
A: Sc3GaN